1.
The following is a GGA-PBEsol calculation of an optimized crystal structure of Be3TlSe, from Alexandria. Values from VASP.

Calculated values
The crystal system is cubic. For the density, the calculation gives 5479 kg/m3. As for the space group: No. 221.

Geometry as Quantum ESPRESSO input:
```
&SYSTEM
  ibrav = 0, nat = 5, ntyp = 3
/
ATOMIC_SPECIES
Be 9.01 Be.upf
Tl 204.38 Tl.upf
Se 78.96 Se.upf
ATOMIC_POSITIONS angstrom
Be -0.589 2.101 0.639
Be -2.065 -0.755 0.581
Be 0.749 -0.429 2.104
Tl 0.000 0.000 0.000
Se -1.905 0.917 3.323
CELL_PARAMETERS angstrom
-4.130 -1.511 1.161
1.498 -0.859 4.208
-1.178 4.203 1.277
```

2.
The following is a GGA-PBEsol calculation of an optimized crystal structure of CoHgI2, from Alexandria. Values from VASP.

Calculated values
The crystal system is tetragonal. For the density, the calculation gives 7123 kg/m3. As for the space group: No. 122. The value obtained for the relative energy among the computed polymorphs is 0.0 meV per atom.

Geometry as Quantum ESPRESSO input:
```
&SYSTEM
  ibrav = 0, nat = 8, ntyp = 3
/
ATOMIC_SPECIES
I 126.90 I.upf
Hg 200.59 Hg.upf
Co 58.93 Co.upf
ATOMIC_POSITIONS angstrom
I -1.613 -0.427 3.391
I -1.647 3.308 4.093
I 4.383 3.247 0.876
I 1.763 1.173 2.688
Hg 0.000 0.000 0.000
Hg 0.721 4.102 1.257
Co -2.654 1.662 2.515
Co 0.721 -0.452 4.267
CELL_PARAMETERS angstrom
6.751 0.327 0.494
-2.654 6.216 -0.494
-2.654 -2.892 5.524
```

For the records above, the corresponding formation energy without anion corrections values read 1067.3, 172.5 meV/atom.